# MgCrTcO2 (PBE+U, optimized geometry)
# size of the total moment: 2.3 μB per cell
# E_tot: -25.411 eV/cell
data_MgCrTcO2
_cell_length_a 3.8658
_cell_length_b 3.8658
_cell_length_c 4.8919
_cell_angle_alpha 90.00
_cell_angle_beta 90.00
_cell_angle_gamma 90.00
_space_group_name_H-M_alt 'P 4/m m m'
_space_group_IT_number 123
_space_group_name_Hall '-P 4 2'
loop_
_atom_site_label
_atom_site_fract_x
_atom_site_fract_y
_atom_site_fract_z
Mg1 0.0000 0.0000 0.0000
Cr1 0.0000 0.0000 0.5000
Tc1 0.5000 0.5000 0.5000
O1 0.0000 0.5000 0.0000